1.
The following is a PBE calculation of a relaxed TiV2Ir crystal, from Alexandria.

Output
V: 14.1 A^3/atom
energy above the lowest structure with this stoichiometry: 0.0000 eV/atom
ΔH_f (0 K): -407 meV/atom

Lattice parameters (Å, degrees): 4.3008 4.3008 4.3008 60.00 60.00 60.00
Positions (direct):
V  0.2500  0.2500  0.2500
V  0.7500  0.7500  0.7500
Ti  0.5000  0.5000  0.5000
Ir  0.0000  0.0000  0.0000

2.
The following is a PBE calculation of a relaxed Ti4VIr5 crystal, from Alexandria.

Output
V: 14.9 A^3/atom
ΔH_f (0 K): -761 meV/atom

Lattice parameters (Å, degrees): 2.8979 2.8979 17.7245 90.00 90.00 90.00
Each line ends with the local moment (μB).
Positions (direct):
Ir  0.5000  0.5000  0.6998  0.00
Ir  0.5000  0.5000  0.0962  0.00
Ir  0.5000  0.5000  0.3002  0.00
Ir  0.5000  0.5000  0.9038  0.00
Ir  0.5000  0.5000  0.5000  -0.01
Ti  0.0000  0.0000  0.8007  -0.03
Ti  0.0000  0.0000  0.1993  -0.03
Ti  0.0000  0.0000  0.3999  -0.01
Ti  0.0000  0.0000  0.6001  -0.01
V  0.0000  0.0000  0.0000  0.36

Quick rundown of calculated total energy, same order as above: -9.16, -9.26 eV per atom